(1)
Entry from Alexandria: crystalline Fe2HgCl at its relaxed geometry (PBEsol).

Computed properties:
Polymorph energy (0 for the lowest one) = 0.99 eV per formula unit
Crystal system = orthorhombic
Space group = Pmmm

abc: 2.916 4.322 5.256
angles: 90.00 90.00 90.00
Sites, in units of the cell vectors:
Fe  0.000  0.000  0.000
Fe  0.500  0.000  0.500
Hg  0.000  0.500  0.500
Cl  0.500  0.500  0.000

(2)
Entry from Alexandria: crystalline CsK2Hg2 at its relaxed geometry (PBEsol).

Computed properties:
Polymorph energy (0 for the lowest one) = 0.18 eV per formula unit
DFT formation energy = -92 meV per atom
Crystal system = tetragonal
Space group = P4/mbm

abc: 10.112 10.112 3.980
angles: 90.00 90.00 90.00
Sites, in units of the cell vectors:
Cs  0.000  0.000  0.000
Cs  0.500  0.500  0.000
K  0.128  0.372  0.000
K  0.372  0.872  0.000
K  0.628  0.128  0.000
K  0.872  0.628  0.000
Hg  0.168  0.668  0.500
Hg  0.332  0.168  0.500
Hg  0.668  0.832  0.500
Hg  0.832  0.332  0.500

(3)
Entry from Alexandria: crystalline MnMo2Pt at its relaxed geometry (PBEsol).

Computed properties:
Polymorph energy (0 for the lowest one) = 0.00 eV per formula unit
DFT formation energy = -107 meV per atom
Crystal system = tetragonal
Space group = P4/mmm

abc: 3.781 3.781 3.926
angles: 90.00 90.00 90.00
Sites, in units of the cell vectors:
Mn  0.000  0.000  0.000
Mo  0.000  0.500  0.500
Mo  0.500  0.000  0.500
Pt  0.500  0.500  0.000

(4)
Entry from Alexandria: crystalline Li2PbAu2 at its relaxed geometry (PBEsol).

Computed properties:
Polymorph energy (0 for the lowest one) = 0.00 eV per formula unit
DFT formation energy = -381 meV per atom
Crystal system = tetragonal
Space group = P4/mbm

abc: 7.567 7.567 3.105
angles: 90.00 90.00 90.00
Sites, in units of the cell vectors:
Li  0.161  0.339  0.000
Li  0.339  0.839  0.000
Li  0.661  0.161  0.000
Li  0.839  0.661  0.000
Pb  0.000  0.000  0.500
Pb  0.500  0.500  0.500
Au  0.132  0.632  0.500
Au  0.368  0.132  0.500
Au  0.632  0.868  0.500
Au  0.868  0.368  0.500

(5)
Entry from Alexandria: crystalline YTl2 at its relaxed geometry (PBEsol).

Computed properties:
DFT formation energy = -314 meV per atom
Crystal system = trigonal
Space group = P-3m1

abc: 4.914 4.914 3.737
angles: 90.00 90.00 120.00
Sites, in units of the cell vectors:
Y  0.000  0.000  0.000
Tl  0.333  0.667  0.641
Tl  0.667  0.333  0.359

(6)
Entry from Alexandria: crystalline SnIr2Se5 at its relaxed geometry (PBEsol).

Computed properties:
DFT total energy = -5.787 eV per atom
Crystal system = monoclinic
Space group = P2/m

abc: 7.648 3.773 12.402
angles: 90.00 101.59 90.00
Sites, in units of the cell vectors:
Sn  0.161  0.000  0.344
Sn  0.839  0.000  0.656
Ir  0.247  0.000  0.150
Ir  0.257  0.500  0.847
Ir  0.743  0.500  0.153
Ir  0.753  0.000  0.850
Se  0.042  0.500  0.107
Se  0.194  0.000  0.711
Se  0.249  0.500  0.481
Se  0.334  0.000  0.972
Se  0.458  0.500  0.224
Se  0.542  0.500  0.776
Se  0.666  0.000  0.028
Se  0.751  0.500  0.519
Se  0.806  0.000  0.289
Se  0.958  0.500  0.893

(7)
Entry from Alexandria: crystalline HoTa5Ag2O15 at its relaxed geometry (PBEsol).

Computed properties:
DFT total energy = -9.182 eV per atom
Crystal system = tetragonal
Space group = P4/mbm

abc: 12.445 12.445 3.884
angles: 90.00 90.00 90.00
Sites, in units of the cell vectors:
Ho  0.000  0.000  0.000
Ho  0.500  0.500  0.000
Ta  0.000  0.500  0.500
Ta  0.081  0.209  0.500
Ta  0.209  0.919  0.500
Ta  0.291  0.419  0.500
Ta  0.419  0.709  0.500
Ta  0.500  0.000  0.500
Ta  0.581  0.291  0.500
Ta  0.709  0.581  0.500
Ta  0.791  0.081  0.500
Ta  0.919  0.791  0.500
Ag  0.156  0.656  0.000
Ag  0.344  0.156  0.000
Ag  0.656  0.844  0.000
Ag  0.844  0.344  0.000
O  0.000  0.500  0.000
O  0.002  0.660  0.500
O  0.057  0.870  0.500
O  0.078  0.186  0.000
O  0.130  0.057  0.500
O  0.160  0.502  0.500
O  0.186  0.922  0.000
O  0.226  0.274  0.500
O  0.274  0.774  0.500
O  0.314  0.422  0.000
O  0.340  0.002  0.500
O  0.370  0.557  0.500
O  0.422  0.686  0.000
O  0.443  0.370  0.500
O  0.498  0.160  0.500
O  0.500  0.000  0.000
O  0.502  0.840  0.500
O  0.557  0.630  0.500
O  0.578  0.314  0.000
O  0.630  0.443  0.500
O  0.660  0.998  0.500
O  0.686  0.578  0.000
O  0.726  0.226  0.500
O  0.774  0.726  0.500
O  0.814  0.078  0.000
O  0.840  0.498  0.500
O  0.870  0.943  0.500
O  0.922  0.814  0.000
O  0.943  0.130  0.500
O  0.998  0.340  0.500

(8)
Entry from Alexandria: crystalline CeInIr at its relaxed geometry (PBEsol).

Computed properties:
DFT formation energy = -647 meV per atom
Crystal system = hexagonal
Space group = P-62m

abc: 7.466 7.466 3.946
angles: 90.00 90.00 120.00
Sites, in units of the cell vectors:
Ce  0.000  0.412  0.000
Ce  0.412  0.000  0.000
Ce  0.588  0.588  0.000
In  0.000  0.747  0.500
In  0.253  0.253  0.500
In  0.747  0.000  0.500
Ir  0.000  0.000  0.000
Ir  0.333  0.667  0.500
Ir  0.667  0.333  0.500

(9)
Entry from Alexandria: crystalline CdAu at its relaxed geometry (PBEsol).

Computed properties:
DFT formation energy = -182 meV per atom
Crystal system = orthorhombic
Space group = Pmma

abc: 4.776 3.000 5.058
angles: 90.00 90.00 90.00
Sites, in units of the cell vectors:
Cd  0.250  0.000  0.187
Cd  0.750  0.000  0.813
Au  0.250  0.500  0.682
Au  0.750  0.500  0.318

(10)
Entry from Alexandria: crystalline Li2FeF6 at its relaxed geometry (PBEsol).

Computed properties:
Polymorph energy (0 for the lowest one) = 0.35 eV per formula unit
Crystal system = trigonal
Space group = P-3m1

abc: 8.462 8.462 4.348
angles: 90.00 90.00 120.00
Sites, in units of the cell vectors:
Li  0.000  0.342  0.000
Li  0.000  0.658  0.000
Li  0.342  0.000  0.000
Li  0.342  0.342  0.000
Li  0.658  0.000  0.000
Li  0.658  0.658  0.000
Fe  0.000  0.000  0.000
Fe  0.333  0.667  0.492
Fe  0.667  0.333  0.508
F  0.104  0.208  0.220
F  0.104  0.896  0.220
F  0.131  0.565  0.253
F  0.208  0.104  0.780
F  0.233  0.465  0.728
F  0.233  0.767  0.728
F  0.435  0.565  0.253
F  0.435  0.869  0.253
F  0.465  0.233  0.272
F  0.535  0.767  0.728
F  0.565  0.131  0.747
F  0.565  0.435  0.747
F  0.767  0.233  0.272
F  0.767  0.535  0.272
F  0.792  0.896  0.220
F  0.869  0.435  0.747
F  0.896  0.104  0.780
F  0.896  0.792  0.780

(11)
Entry from Alexandria: crystalline ZrTa2Fe at its relaxed geometry (PBEsol).

Computed properties:
Polymorph energy (0 for the lowest one) = 0.06 eV per formula unit
DFT formation energy = -22 meV per atom
Crystal system = orthorhombic
Space group = Immm

abc: 5.407 5.407 5.407
angles: 145.76 131.20 60.96
Sites, in units of the cell vectors:
Zr  0.000  0.000  0.000
Ta  0.266  0.766  0.500
Ta  0.734  0.234  0.500
Fe  0.500  0.500  0.000

(12)
Entry from Alexandria: crystalline ZnRe2Br at its relaxed geometry (PBEsol).

Computed properties:
Polymorph energy (0 for the lowest one) = 2.14 eV per formula unit
Crystal system = monoclinic
Space group = P2/m

abc: 3.468 4.555 4.900
angles: 90.00 99.91 90.00
Sites, in units of the cell vectors:
Zn  0.000  0.000  0.000
Re  0.307  0.500  0.167
Re  0.693  0.500  0.833
Br  0.500  0.000  0.500

(13)
Entry from Alexandria: crystalline BaAgAu4 at its relaxed geometry (PBEsol).

Computed properties:
DFT formation energy = -317 meV per atom
Crystal system = cubic
Space group = F-43m

abc: 5.605 5.605 5.605
angles: 60.00 60.00 60.00
Sites, in units of the cell vectors:
Ba  0.000  0.000  0.000
Ag  0.250  0.250  0.250
Au  0.128  0.624  0.624
Au  0.624  0.128  0.624
Au  0.624  0.624  0.128
Au  0.624  0.624  0.624

(14)
Entry from Alexandria: crystalline ScAl5 at its relaxed geometry (PBEsol).

Computed properties:
Polymorph energy (0 for the lowest one) = 0.76 eV per formula unit
DFT formation energy = -127 meV per atom
Crystal system = monoclinic
Space group = Cm

abc: 5.515 5.515 6.766
angles: 103.88 103.88 31.40
Sites, in units of the cell vectors:
Sc  0.000  0.000  0.000
Al  0.052  0.052  0.604
Al  0.333  0.333  0.658
Al  0.381  0.381  0.274
Al  0.661  0.661  0.339
Al  0.723  0.723  0.939

(15)
Entry from Alexandria: crystalline MgOs2 at its relaxed geometry (PBEsol).

Computed properties:
DFT formation energy = 253 meV per atom
Crystal system = monoclinic
Space group = Cm

abc: 5.269 5.269 6.518
angles: 104.48 104.48 30.30
Sites, in units of the cell vectors:
Mg  0.000  0.000  0.000
Mg  0.658  0.658  0.354
Os  0.284  0.284  0.084
Os  0.331  0.331  0.692
Os  0.620  0.620  0.733
Os  0.931  0.931  0.423

(16)
Entry from Alexandria: crystalline KAuBr2 at its relaxed geometry (PBEsol).

Computed properties:
Polymorph energy (0 for the lowest one) = 0.56 eV per formula unit
Crystal system = orthorhombic
Space group = Immm

abc: 5.687 5.687 5.687
angles: 137.01 113.00 82.98
Sites, in units of the cell vectors:
K  0.000  0.000  0.000
Au  0.500  0.500  0.000
Br  0.297  0.797  0.500
Br  0.703  0.203  0.500

(17)
Entry from Alexandria: crystalline HgRh2Pb at its relaxed geometry (PBEsol).

Computed properties:
DFT formation energy = 212 meV per atom
Crystal system = tetragonal
Space group = P4mm

abc: 3.137 3.137 7.676
angles: 90.00 90.00 90.00
Sites, in units of the cell vectors:
Hg  0.000  0.000  0.000
Rh  0.000  0.000  0.596
Rh  0.500  0.500  0.769
Pb  0.500  0.500  0.348

(18)
Entry from Alexandria: crystalline LaAg2Br at its relaxed geometry (PBEsol).

Computed properties:
Polymorph energy (0 for the lowest one) = 0.07 eV per formula unit
Crystal system = orthorhombic
Space group = Immm

abc: 6.160 6.160 6.160
angles: 140.81 140.50 56.86
Sites, in units of the cell vectors:
La  0.000  0.000  0.000
Ag  0.250  0.750  0.500
Ag  0.750  0.250  0.500
Br  0.500  0.500  0.000

(19)
Entry from Alexandria: crystalline Si2PBr at its relaxed geometry (PBEsol).

Computed properties:
Polymorph energy (0 for the lowest one) = 2.51 eV per formula unit
Crystal system = orthorhombic
Space group = Pmmm

abc: 2.987 4.611 4.989
angles: 90.00 90.00 90.00
Sites, in units of the cell vectors:
Si  0.000  0.000  0.000
Si  0.500  0.000  0.500
P  0.000  0.500  0.500
Br  0.500  0.500  0.000

(20)
Entry from Alexandria: crystalline LiIrPt3 at its relaxed geometry (PBEsol).

Computed properties:
Polymorph energy (0 for the lowest one) = 0.00 eV per formula unit
DFT formation energy = 755 meV per atom
Crystal system = cubic
Space group = Pm-3m

abc: 4.120 4.120 4.120
angles: 90.00 90.00 90.00
Sites, in units of the cell vectors:
Li  0.000  0.000  0.000
Ir  0.500  0.500  0.500
Pt  0.000  0.000  0.500
Pt  0.000  0.500  0.000
Pt  0.500  0.000  0.000